# 1
First-principles (PBE) data for an optimized crystal structure of ZrTeHS, as listed in Alexandria.

Its electronic total energy is -5.65 eV per atom. As for the density of states at the Fermi level: 2.32 states/eV per cell.

The space group is Cm (No. 8) and the conventional cell measures 6.004, 3.573 and 7.741 Å, with angles of 90.00, 105.27 and 90.00 degrees. The distinct sites, in fractional coordinates, are Zr at (0.000, 0.000, 0.000), Te at (0.275, 0.500, 0.320), H at (0.347, 0.000, 0.035) and S at (0.094, 0.500, 0.788).

***

# 2
First-principles (PBE) data for an optimized crystal structure of Tm6Hg2C, as listed in Alexandria.

As for the formation energy: -6 kJ per mole of atoms. As for the density of states at the Fermi level: 21.39 states/eV per cell.

The space group is P4_2/mnm (No. 136) and the conventional cell measures 6.677, 6.677 and 11.539 Å, with angles of 90.00, 90.00 and 90.00 degrees. The distinct sites, in fractional coordinates, are Tm at (0.190, 0.190, 0.147), Tm at (0.250, 0.250, 0.500), Hg at (0.000, 0.000, 0.349) and C at (0.000, 0.000, 0.000).

***

# 3
First-principles (PBE) data for an optimized crystal structure of Y6GeP2S3, as listed in Alexandria.

As for the density of states at the Fermi level: 7.34 states/eV per cell. Its formation energy (no corrections) is -21.0 eV per formula unit.

The space group is C2/m (No. 12) and the conventional cell measures 17.443, 4.007 and 7.997 Å, with angles of 90.00, 103.22 and 90.00 degrees. The distinct sites, in fractional coordinates, are Y at (0.002, 0.000, 0.250), Y at (0.166, 0.500, 0.089), Y at (0.169, 0.500, 0.578), Ge at (0.000, 0.500, 0.000), P at (0.167, 0.000, 0.335), S at (0.000, 0.500, 0.500) and S at (0.167, 0.000, 0.832).

***

# 4
First-principles (PBE) data for an optimized crystal structure of Nd2SbN, as listed in Alexandria.

As for the density of states at the Fermi level: 1.38 states/eV per cell. The energy relative to the lowest polymorph listed for this composition is 32 meV per atom. Its formation energy (no corrections) is -4.9 eV per formula unit.

The space group is Pnma (No. 62) and the conventional cell measures 7.468, 4.221 and 13.469 Å, with angles of 90.00, 90.00 and 90.00 degrees. The distinct sites, in fractional coordinates, are Nd at (0.101, 0.250, 0.231), Nd at (0.183, 0.250, 0.965), Sb at (0.111, 0.250, 0.638) and N at (0.053, 0.750, 0.912).